# 1
First-principles (GGA-PBE) data for a relaxed TbNdHo5Th2 crystal, as listed in the Alexandria database.

Cell and atoms, written as POSCAR:
```
TbNdHo5Th2
1.0
8.756 0.000 0.000
0.000 8.756 0.000
-4.378 -4.378 7.726
Tb Nd Ho Th
2 2 10 4
direct
0.250 0.250 0.500 Tb
0.750 0.750 0.500 Tb
0.250 0.750 0.500 Nd
0.750 0.250 0.500 Nd
0.931 0.431 0.278 Ho
0.653 0.153 0.722 Ho
0.069 0.569 0.722 Ho
0.153 0.069 0.722 Ho
0.569 0.653 0.722 Ho
0.847 0.931 0.278 Ho
0.431 0.347 0.278 Ho
0.347 0.847 0.278 Ho
0.500 0.500 0.000 Ho
0.000 0.000 0.000 Ho
0.119 0.381 0.000 Th
0.619 0.119 0.000 Th
0.381 0.881 0.000 Th
0.881 0.619 0.000 Th
```

Calculated values
As for the space group: No. 140.

---

# 2
First-principles (GGA-PBE) data for a relaxed Tb6Nd3Ho2Th crystal, as listed in the Alexandria database.

Cell and atoms, written as POSCAR:
```
Tb6Nd3Ho2Th
1.0
-2.380 1.233 5.605
1.010 -5.885 -1.715
11.262 2.103 3.171
Tb Nd Ho Th
6 3 2 1
direct
0.918 0.588 0.754 Tb
0.752 0.752 0.246 Tb
0.082 0.412 0.246 Tb
0.588 0.918 0.754 Tb
0.248 0.248 0.754 Tb
0.412 0.082 0.246 Tb
0.167 0.833 0.500 Nd
0.833 0.167 0.500 Nd
0.500 0.500 0.500 Nd
0.333 0.667 0.000 Ho
0.667 0.333 0.000 Ho
0.000 0.000 0.000 Th
```

Calculated values
As for the space group: No. 12.

---

# 3
First-principles (GGA-PBE) data for a relaxed Tb5Nd2HoTh crystal, as listed in the Alexandria database.

Cell and atoms, written as POSCAR:
```
Tb5Nd2HoTh
1.0
-0.001 -2.626 5.108
9.636 5.616 -0.340
-4.420 7.827 4.023
Tb Nd Ho Th
10 4 2 2
direct
0.397 0.794 0.041 Tb
0.730 0.459 0.828 Tb
0.470 0.941 0.742 Tb
0.305 0.610 0.716 Tb
0.985 0.970 0.515 Tb
0.603 0.206 0.541 Tb
0.270 0.541 0.328 Tb
0.530 0.059 0.242 Tb
0.695 0.390 0.216 Tb
0.015 0.030 0.015 Tb
0.885 0.771 0.827 Nd
0.130 0.259 0.711 Nd
0.115 0.229 0.327 Nd
0.870 0.741 0.211 Nd
0.809 0.618 0.517 Ho
0.191 0.382 0.017 Ho
0.596 0.191 0.926 Th
0.404 0.809 0.426 Th
```

Calculated values
As for the space group: No. 36.

---

# 4
First-principles (GGA-PBE) data for a relaxed TbNd5Ho2Th crystal, as listed in the Alexandria database.

Cell and atoms, written as POSCAR:
```
TbNd5Ho2Th
1.0
5.660 0.000 0.000
-2.830 10.284 0.000
0.000 0.000 10.640
Tb Nd Ho Th
2 10 4 2
direct
0.595 0.189 0.959 Tb
0.405 0.811 0.459 Tb
0.385 0.770 0.025 Nd
0.724 0.447 0.813 Nd
0.482 0.965 0.745 Nd
0.293 0.585 0.704 Nd
0.986 0.972 0.518 Nd
0.615 0.230 0.525 Nd
0.276 0.553 0.313 Nd
0.518 0.035 0.245 Nd
0.707 0.415 0.204 Nd
0.014 0.028 0.018 Nd
0.885 0.770 0.810 Ho
0.112 0.225 0.739 Ho
0.115 0.230 0.310 Ho
0.888 0.775 0.239 Ho
0.801 0.601 0.511 Th
0.199 0.399 0.011 Th
```

Calculated values
As for the space group: No. 36.

---

# 5
First-principles (GGA-PBE) data for a relaxed Tb2Nd6HoTh crystal, as listed in the Alexandria database.

Cell and atoms, written as POSCAR:
```
Tb2Nd6HoTh
1.0
9.278 -2.191 -2.273
0.858 8.623 -1.929
0.858 -2.248 8.546
Tb Nd Ho Th
4 12 2 2
direct
0.450 0.801 0.710 Tb
0.050 0.290 0.199 Tb
0.550 0.199 0.290 Tb
0.950 0.710 0.801 Tb
0.057 0.110 0.757 Nd
0.443 0.243 0.890 Nd
0.943 0.890 0.243 Nd
0.557 0.757 0.110 Nd
0.312 0.990 0.425 Nd
0.188 0.575 0.010 Nd
0.688 0.010 0.575 Nd
0.812 0.425 0.990 Nd
0.119 0.702 0.489 Nd
0.381 0.511 0.298 Nd
0.881 0.298 0.511 Nd
0.619 0.489 0.702 Nd
0.250 0.408 0.592 Ho
0.750 0.592 0.408 Ho
0.250 0.973 0.027 Th
0.750 0.027 0.973 Th
```

Calculated values
As for the space group: No. 15.

---

# 6
First-principles (GGA-PBE) data for a relaxed TbNd2Ho2Th2 crystal, as listed in the Alexandria database.

Cell and atoms, written as POSCAR:
```
TbNd2Ho2Th2
1.0
-0.918 -2.123 2.598
-3.830 -4.268 -7.169
8.251 -1.463 1.722
Tb Nd Ho Th
1 2 2 2
direct
0.000 0.000 0.500 Tb
0.644 0.288 0.917 Nd
0.356 0.712 0.083 Nd
0.790 0.579 0.380 Ho
0.210 0.421 0.620 Ho
0.434 0.868 0.774 Th
0.566 0.132 0.226 Th
```

Calculated values
As for the space group: No. 12.

---

# 7
First-principles (GGA-PBE) data for a relaxed Tb5NdHoTh2 crystal, as listed in the Alexandria database.

Cell and atoms, written as POSCAR:
```
Tb5NdHoTh2
1.0
-1.206 -3.257 -8.172
2.461 -8.044 2.842
-7.919 4.028 4.388
Tb Nd Ho Th
10 2 2 4
direct
0.929 0.429 0.275 Tb
0.654 0.154 0.725 Tb
0.071 0.571 0.725 Tb
0.154 0.071 0.725 Tb
0.571 0.654 0.725 Tb
0.846 0.929 0.275 Tb
0.429 0.346 0.275 Tb
0.346 0.846 0.275 Tb
0.500 0.500 0.000 Tb
0.000 0.000 0.000 Tb
0.250 0.250 0.500 Nd
0.750 0.750 0.500 Nd
0.250 0.750 0.500 Ho
0.750 0.250 0.500 Ho
0.119 0.381 0.000 Th
0.619 0.119 0.000 Th
0.381 0.881 0.000 Th
0.881 0.619 0.000 Th
```

Calculated values
As for the space group: No. 140.

---

# 8
First-principles (GGA-PBE) data for a relaxed TbNdHo3Th crystal, as listed in the Alexandria database.

Cell and atoms, written as POSCAR:
```
TbNdHo3Th
1.0
5.055 0.000 0.000
0.000 7.869 -1.216
0.000 -3.270 10.207
Tb Nd Ho Th
2 2 6 2
direct
0.250 0.626 0.128 Tb
0.750 0.374 0.872 Tb
0.250 0.121 0.293 Nd
0.750 0.879 0.707 Nd
0.750 0.874 0.043 Ho
0.250 0.126 0.957 Ho
0.250 0.631 0.456 Ho
0.750 0.369 0.544 Ho
0.750 0.378 0.208 Ho
0.250 0.622 0.792 Ho
0.250 0.123 0.623 Th
0.750 0.877 0.377 Th
```

Calculated values
As for the space group: No. 11.

---

# 9
First-principles (GGA-PBE) data for a relaxed TbNd3Ho6Th2 crystal, as listed in the Alexandria database.

Cell and atoms, written as POSCAR:
```
TbNd3Ho6Th2
1.0
-1.843 -0.559 -5.898
5.981 -0.763 1.463
-3.230 -10.877 3.131
Tb Nd Ho Th
1 3 6 2
direct
0.000 0.000 0.000 Tb
0.166 0.834 0.500 Nd
0.834 0.166 0.500 Nd
0.500 0.500 0.500 Nd
0.918 0.581 0.755 Ho
0.744 0.744 0.245 Ho
0.082 0.419 0.245 Ho
0.581 0.918 0.755 Ho
0.256 0.256 0.755 Ho
0.419 0.082 0.245 Ho
0.333 0.667 0.000 Th
0.667 0.333 0.000 Th
```

Calculated values
As for the space group: No. 12.

---

# 10
First-principles (GGA-PBE) data for a relaxed Tb6NdHo2Th crystal, as listed in the Alexandria database.

Cell and atoms, written as POSCAR:
```
Tb6NdHo2Th
1.0
-7.079 -6.212 -0.906
6.084 -5.825 -2.525
-1.183 0.824 8.674
Tb Nd Ho Th
12 2 4 2
direct
0.060 0.112 0.763 Tb
0.440 0.237 0.888 Tb
0.940 0.888 0.237 Tb
0.560 0.763 0.112 Tb
0.317 0.982 0.427 Tb
0.183 0.573 0.018 Tb
0.683 0.018 0.573 Tb
0.817 0.427 0.982 Tb
0.114 0.706 0.481 Tb
0.386 0.519 0.294 Tb
0.886 0.294 0.519 Tb
0.614 0.481 0.706 Tb
0.250 0.407 0.593 Nd
0.750 0.593 0.407 Nd
0.447 0.802 0.704 Ho
0.053 0.296 0.198 Ho
0.553 0.198 0.296 Ho
0.947 0.704 0.802 Ho
0.250 0.966 0.034 Th
0.750 0.034 0.966 Th
```

Calculated values
As for the space group: No. 15.

---

# 11
First-principles (GGA-PBE) data for a relaxed Tb6Nd3Ho2Tl crystal, as listed in the Alexandria database.

Cell and atoms, written as POSCAR:
```
Tb6Nd3Ho2Tl
1.0
-5.381 -0.064 -3.037
2.392 -5.269 2.170
-4.621 3.334 10.229
Tb Nd Ho Tl
6 3 2 1
direct
0.920 0.591 0.757 Tb
0.752 0.752 0.245 Tb
0.080 0.409 0.243 Tb
0.591 0.920 0.757 Tb
0.248 0.248 0.755 Tb
0.409 0.080 0.243 Tb
0.167 0.833 0.500 Nd
0.833 0.167 0.500 Nd
0.500 0.500 0.500 Nd
0.334 0.666 0.000 Ho
0.666 0.334 0.000 Ho
0.000 0.000 0.000 Tl
```

Calculated values
As for the space group: No. 12.

---

# 12
First-principles (GGA-PBE) data for a relaxed Tb2Nd6Ho3Tl crystal, as listed in the Alexandria database.

Cell and atoms, written as POSCAR:
```
Tb2Nd6Ho3Tl
1.0
6.219 -0.009 0.006
-3.115 5.382 0.006
-1.059 -1.834 11.644
Tb Nd Ho Tl
2 6 3 1
direct
0.334 0.666 0.000 Tb
0.666 0.334 0.000 Tb
0.917 0.589 0.751 Nd
0.756 0.756 0.251 Nd
0.083 0.411 0.249 Nd
0.589 0.917 0.751 Nd
0.244 0.244 0.749 Nd
0.411 0.083 0.249 Nd
0.167 0.833 0.500 Ho
0.833 0.167 0.500 Ho
0.500 0.500 0.500 Ho
0.000 0.000 0.000 Tl
```

Calculated values
As for the space group: No. 12.

---

# 13
First-principles (GGA-PBE) data for a relaxed Tb6Nd2Ho3Tl crystal, as listed in the Alexandria database.

Cell and atoms, written as POSCAR:
```
Tb6Nd2Ho3Tl
1.0
6.117 -0.003 0.001
-3.060 5.297 0.001
-1.026 -1.776 11.582
Tb Nd Ho Tl
6 2 3 1
direct
0.916 0.589 0.749 Tb
0.756 0.756 0.252 Tb
0.084 0.411 0.251 Tb
0.589 0.916 0.749 Tb
0.244 0.244 0.748 Tb
0.411 0.084 0.251 Tb
0.334 0.666 0.000 Nd
0.666 0.334 0.000 Nd
0.167 0.833 0.500 Ho
0.833 0.167 0.500 Ho
0.500 0.500 0.500 Ho
0.000 0.000 0.000 Tl
```

Calculated values
As for the space group: No. 12.

---

# 14
First-principles (GGA-PBE) data for a relaxed Tb2Nd3Ho6Tl crystal, as listed in the Alexandria database.

Cell and atoms, written as POSCAR:
```
Tb2Nd3Ho6Tl
1.0
-0.112 0.644 -6.107
2.992 -4.726 2.537
-10.566 -4.971 0.706
Tb Nd Ho Tl
2 3 6 1
direct
0.334 0.666 0.000 Tb
0.666 0.334 0.000 Tb
0.167 0.833 0.500 Nd
0.833 0.167 0.500 Nd
0.500 0.500 0.500 Nd
0.919 0.591 0.756 Ho
0.752 0.752 0.245 Ho
0.081 0.409 0.244 Ho
0.591 0.919 0.756 Ho
0.248 0.248 0.755 Ho
0.409 0.081 0.244 Ho
0.000 0.000 0.000 Tl
```

Calculated values
As for the space group: No. 12.

---

# 15
First-principles (GGA-PBE) data for a relaxed Tb2NdHoTl2 crystal, as listed in the Alexandria database.

Cell and atoms, written as POSCAR:
```
Tb2NdHoTl2
1.0
5.154 0.000 0.000
0.000 6.858 0.000
0.000 0.000 10.077
Tb Nd Ho Tl
4 2 2 4
direct
0.500 0.052 0.045 Tb
0.000 0.336 0.182 Tb
0.500 0.552 0.955 Tb
0.000 0.836 0.818 Tb
0.000 0.959 0.457 Nd
0.000 0.459 0.543 Nd
0.500 0.180 0.691 Ho
0.500 0.680 0.309 Ho
0.000 0.298 0.866 Tl
0.500 0.222 0.364 Tl
0.000 0.798 0.134 Tl
0.500 0.722 0.636 Tl
```

Calculated values
As for the space group: No. 26.

---

# 16
First-principles (GGA-PBE) data for a relaxed Tb2NdHoTm crystal, as listed in the Alexandria database.

Cell and atoms, written as POSCAR:
```
Tb2NdHoTm
1.0
-5.913 0.155 4.103
4.761 -0.600 6.884
-2.046 6.015 -3.175
Tb Nd Ho Tm
4 2 2 2
direct
0.500 0.309 0.000 Tb
0.000 0.691 0.000 Tb
0.500 0.691 0.000 Tb
0.000 0.309 0.000 Tb
0.250 0.728 0.455 Nd
0.750 0.272 0.545 Nd
0.250 0.998 0.996 Ho
0.750 0.002 0.004 Ho
0.750 0.724 0.447 Tm
0.250 0.276 0.553 Tm
```

Calculated values
As for the space group: No. 63.

---

# 17
First-principles (GGA-PBE) data for a relaxed Tb3NdHo2Tm6 crystal, as listed in the Alexandria database.

Cell and atoms, written as POSCAR:
```
Tb3NdHo2Tm6
1.0
6.108 0.002 0.010
-3.051 5.292 0.010
-1.033 -1.788 11.473
Tb Nd Ho Tm
3 1 2 6
direct
0.167 0.833 0.500 Tb
0.833 0.167 0.500 Tb
0.500 0.500 0.500 Tb
0.000 0.000 0.000 Nd
0.333 0.667 0.000 Ho
0.667 0.333 0.000 Ho
0.916 0.582 0.749 Tm
0.750 0.750 0.250 Tm
0.084 0.418 0.251 Tm
0.582 0.916 0.749 Tm
0.250 0.250 0.750 Tm
0.418 0.084 0.251 Tm
```

Calculated values
As for the space group: No. 12.

---

# 18
First-principles (GGA-PBE) data for a relaxed TbNd6HoTm2 crystal, as listed in the Alexandria database.

Cell and atoms, written as POSCAR:
```
TbNd6HoTm2
1.0
9.176 -2.006 -2.082
0.821 8.663 -2.009
0.821 -2.329 8.583
Tb Nd Ho Tm
2 12 2 4
direct
0.250 0.971 0.029 Tb
0.750 0.029 0.971 Tb
0.055 0.115 0.763 Nd
0.445 0.237 0.885 Nd
0.945 0.885 0.237 Nd
0.555 0.763 0.115 Nd
0.313 0.992 0.438 Nd
0.187 0.562 0.008 Nd
0.687 0.008 0.562 Nd
0.813 0.438 0.992 Nd
0.118 0.706 0.488 Nd
0.382 0.512 0.294 Nd
0.882 0.294 0.512 Nd
0.618 0.488 0.706 Nd
0.250 0.411 0.589 Ho
0.750 0.589 0.411 Ho
0.453 0.799 0.702 Tm
0.047 0.298 0.201 Tm
0.547 0.201 0.298 Tm
0.953 0.702 0.799 Tm
```

Calculated values
As for the space group: No. 15.

---

# 19
First-principles (GGA-PBE) data for a relaxed TbNd2Ho2Tm2 crystal, as listed in the Alexandria database.

Cell and atoms, written as POSCAR:
```
TbNd2Ho2Tm2
1.0
-3.205 0.282 1.399
2.444 -5.120 2.230
4.795 2.433 10.496
Tb Nd Ho Tm
1 2 2 2
direct
0.000 0.000 0.500 Tb
0.671 0.342 0.915 Nd
0.329 0.658 0.085 Nd
0.450 0.900 0.769 Ho
0.550 0.100 0.231 Ho
0.774 0.548 0.365 Tm
0.226 0.452 0.635 Tm
```

Calculated values
As for the space group: No. 12.

---

no.,energy relative to the elements (eV per atom),final energy (eV per atom)
1,0.330,-4.906
2,0.021,-4.868
3,0.160,-4.805
4,0.156,-4.849
5,0.144,-4.843
6,0.171,-5.280
7,0.333,-4.926
8,0.031,-5.061
9,0.019,-5.084
10,0.150,-4.763
11,-0.011,-4.478
12,-0.014,-4.511
13,-0.029,-4.481
14,-0.015,-4.464
15,-0.269,-4.159
16,0.391,-4.224
17,0.021,-4.532
18,0.116,-4.560
19,0.086,-4.523